Here is a geometry-optimized CdMo2Au structure from OQMD. Energies are from PBE-GGA.

Values from the calculation:
As for the formation energy: 0.51 eV/atom. Its crystal system is cubic. The value obtained for the volume is 69.4 Å³ per cell. The calculation puts the size of the total moment at 0.02 μB per cell.

Cell lengths 4.6127, 4.6127, 4.6127 Å; angles 60.00, 60.00, 60.00 degrees
Positions (direct):
Mo (0.0000, 0.0000, 0.0000)
Cd (0.7500, 0.7500, 0.7500)
Mo (0.2500, 0.2500, 0.2500)
Au (0.5000, 0.5000, 0.5000)